[1]
DFT (PBE) results for a geometry-optimized ZrTeAs3 structure.

Values from the calculation:
Formation energy without anion corrections = 0.3278 eV per atom
Energy above the most stable polymorph in this dataset = 0 meV/atom
Final energy = -4.800 eV/atom
DOS at the Fermi energy = 1.184 states/eV/atom

a b c (Å): 5.207 5.207 5.207
angles (deg): 90.00 90.00 90.00
Atoms (fractional coordinates):
As (0.000, 0.500, 0.000)
As (0.000, 0.000, 0.500)
As (0.500, 0.000, 0.000)
Te (0.500, 0.500, 0.500)
Zr (0.000, 0.000, 0.000)

=====

[2]
DFT (PBE) results for a geometry-optimized P2PdO6F structure.

Values from the calculation:
Formation energy without anion corrections = -1.5591 eV per atom
Final energy = -6.322 eV/atom

a b c (Å): 4.878 7.536 7.536
angles (deg): 86.01 72.96 72.96
Last column: magnetic moment on the atom in μB.
Atoms (fractional coordinates):
P (0.370, 0.797, 0.614)  0.00
P (0.130, 0.386, 0.203)  0.00
P (0.630, 0.203, 0.386)  0.00
P (0.870, 0.614, 0.797)  0.00
Pd (0.250, 0.181, 0.819)  0.62
Pd (0.750, 0.819, 0.181)  0.62
O (0.221, 0.006, 0.638)  0.00
O (0.279, 0.362, 0.994)  0.00
O (0.779, 0.994, 0.362)  0.00
O (0.721, 0.638, 0.006)  0.00
O (0.448, 0.723, 0.419)  0.09
O (0.052, 0.581, 0.277)  0.09
O (0.552, 0.277, 0.581)  0.09
O (0.948, 0.419, 0.723)  0.09
O (0.158, 0.689, 0.751)  0.01
O (0.342, 0.249, 0.311)  0.01
O (0.842, 0.311, 0.249)  0.01
O (0.658, 0.751, 0.689)  0.01
F (0.250, 0.993, 0.007)  0.13
F (0.750, 0.007, 0.993)  0.13

=====

[3]
DFT (PBE) results for a geometry-optimized KAu12 structure.

Values from the calculation:
Final energy = -3.159 eV/atom
DOS at the Fermi energy = 0.329 states/eV/atom

a b c (Å): 5.622 7.358 7.358
angles (deg): 81.61 67.54 67.54
Atoms (fractional coordinates):
K (0.000, 0.000, 0.000)
Au (0.500, 0.000, 0.500)
Au (0.000, 0.000, 0.500)
Au (0.500, 0.500, 0.000)
Au (0.000, 0.500, 0.000)
Au (0.000, 0.648, 0.352)
Au (0.000, 0.352, 0.648)
Au (0.648, 0.352, 0.352)
Au (0.352, 0.648, 0.648)
Au (0.500, 0.220, 0.780)
Au (0.500, 0.780, 0.220)
Au (0.720, 0.780, 0.780)
Au (0.280, 0.220, 0.220)

=====

[4]
DFT (PBE) results for a geometry-optimized LiCa2Mo structure.

Values from the calculation:
Energy above the most stable polymorph in this dataset = 38 meV/atom
Final energy = -3.583 eV/atom
DOS at the Fermi energy = 1.063 states/eV/atom

a b c (Å): 5.978 5.978 5.672
angles (deg): 74.30 74.30 29.51
Atoms (fractional coordinates):
Ca (0.973, 0.973, 0.078)
Ca (0.768, 0.768, 0.689)
Li (0.536, 0.536, 0.521)
Mo (0.223, 0.223, 0.212)

=====

[5]
DFT (PBE) results for a geometry-optimized TbErB structure.

Values from the calculation:
Final energy = -5.514 eV/atom
DOS at the Fermi energy = 0.848 states/eV/atom

a b c (Å): 3.237 3.538 11.635
angles (deg): 81.25 90.00 90.00
Atoms (fractional coordinates):
B (0.750, 0.486, 0.027)
B (0.250, 0.514, 0.973)
Tb (0.750, 0.306, 0.388)
Tb (0.250, 0.694, 0.612)
Er (0.750, 0.070, 0.861)
Er (0.250, 0.930, 0.139)